Material: Fe3OF7
Method: DFT, PBE+U
State: optimized geometry

The structure in POSCAR format:
```
Fe3OF7
1.0
5.383 -2.949 0.000
5.383 2.949 0.000
-3.643 0.000 10.035
Fe O F
6 2 14
direct
0.004 0.996 0.500
0.007 0.477 0.503
0.265 0.738 0.763
0.477 0.007 0.003
0.738 0.265 0.263
0.996 0.004 0.000
0.078 0.141 0.389
0.141 0.078 0.889
0.106 0.633 0.408
0.120 0.662 0.877
0.325 0.863 0.634
0.327 0.407 0.639
0.354 0.890 0.109
0.407 0.327 0.139
0.600 0.657 0.881
0.633 0.106 0.908
0.657 0.600 0.381
0.662 0.120 0.377
0.854 0.905 0.121
0.863 0.325 0.134
0.890 0.354 0.609
0.905 0.854 0.621
```

Results
M_tot (Bohr magnetons per cell): 30.0
Symmetry: Cc, No. 9
Offset from the most stable computed form (meV per atom): 0.0
Calculated density (g/cm³): 3.30
Density of states at the Fermi level (states/eV per cell): 0.000